No. 1
VASP calculation (PBE) on a relaxed ThTi5Co2 crystal.

Results
E_form ... -140 meV per atom
Total magnetic moment ... 0.000 μB per atom
Crystal system ... orthorhombic
Space group ... Immm, No. 71

Cell: 4.2035 6.3776 6.3776 Å, 65.05 70.76 70.76°
With the nearest neighbours (Å) after each atom.
Atoms (fractional coordinates):
Th 0.0000 0.0000 0.0000  4 Co 3.31, 14 Ti 3.32-3.69
Ti 0.0000 0.5000 0.5000  2 Co 2.39
Ti 0.3462 0.4551 0.8525  1 Co 2.31
Ti 0.6538 0.5449 0.1475  1 Co 2.31
Ti 0.6538 0.1475 0.5449  1 Co 2.31
Ti 0.3462 0.8525 0.4551  1 Co 2.31
Co 0.2413 0.2587 0.2587  3 Ti 2.31-2.39
Co 0.7587 0.7413 0.7413  3 Ti 2.31-2.39

No. 2
VASP calculation (PBE) on a relaxed Ho2Ga8Pd crystal.

Results
E_form ... -512 meV per atom
Total magnetic moment ... 0.000 μB per atom
Crystal system ... tetragonal
Space group ... P4/mmm, No. 123

Cell: 4.3221 4.3221 11.1157 Å, 90.00 90.00 90.00°
With the nearest neighbours (Å) after each atom.
Atoms (fractional coordinates):
Ho 0.0000 0.0000 0.3110  12 Ga 2.98-3.06
Ho 0.0000 0.0000 0.6890  12 Ga 2.98-3.06
Ga 0.0000 0.5000 0.5000  4 Ho 3.01, 8 Ga 3.06
Ga 0.5000 0.0000 0.5000  4 Ho 3.01, 8 Ga 3.06
Ga 0.5000 0.5000 0.3057  8 Ga 2.94-3.06, 4 Ho 3.06
Ga 0.5000 0.5000 0.6943  8 Ga 2.94-3.06, 4 Ho 3.06
Ga 0.0000 0.5000 0.1271  2 Pd 2.58, 1 Ga 2.82
Ga 0.5000 0.0000 0.1271  2 Pd 2.58, 1 Ga 2.82
Ga 0.0000 0.5000 0.8729  2 Pd 2.58, 1 Ga 2.82
Ga 0.5000 0.0000 0.8729  2 Pd 2.58, 1 Ga 2.82
Pd 0.0000 0.0000 0.0000  8 Ga 2.58